A plane-wave DFT calculation with PBE was carried out for crystalline CdGa2AsO6 at its relaxed geometry.

Computed properties:
E_form (uncorrected) in eV per atom: -1.404
Density in Mg/m³: 5.29
Total energy in eV per atom: -5.541

Lattice parameters (Å, degrees): 9.1355 10.3913 6.0896 90.00 113.21 90.00
Last column: nearest neighbours and their distance in Å.
Space group C2/c (No. 15)
Unique sites:
Cd 0.0000 0.1019 0.2500 (multiplicity 4)  6 O 2.28-2.47
Ga 0.1355 0.4203 0.1704 (multiplicity 8)  4 O 1.87-2.02
As 0.0000 0.2077 0.7500 (multiplicity 4)  4 O 1.80-1.91
O 0.1169 0.2419 0.0814 (multiplicity 8)  1 As 1.91, 1 Ga 1.92
O 0.1180 0.4410 0.4654 (multiplicity 8)  2 Ga 1.87-1.88
O 0.1239 0.0890 0.6906 (multiplicity 8)  1 As 1.80



A plane-wave DFT calculation with PBE was carried out for crystalline CdGa2AsRh at its relaxed geometry.

Computed properties:
Energy of formation from the pure elements in meV per atom: 1056
Density in Mg/m³: 5.72
Total energy in eV per atom: -2.738

Lattice parameters (Å, degrees): 4.9316 4.9316 5.1265 90.00 90.00 90.00
Last column: nearest neighbours and their distance in Å.
Space group P4/mmm (No. 123)
Unique sites:
Cd 0.0000 0.0000 0.0000 (multiplicity 1)  4 Ga 2.47, 2 As 2.56
Ga 0.0000 0.5000 0.0000 (multiplicity 2)  2 Cd 2.47
As 0.0000 0.0000 0.5000 (multiplicity 1)  2 Cd 2.56
Rh 0.5000 0.5000 0.5000 (multiplicity 1)  4 As 3.49, 8 Ga 3.56



A plane-wave DFT calculation with PBE was carried out for crystalline CdGa2SnAs4 at its relaxed geometry.

Computed properties:
Energy of formation from the pure elements in meV per atom: -226
Density in Mg/m³: 5.25
Total energy in eV per atom: -3.922

Lattice parameters (Å, degrees): 5.9561 5.9561 11.9408 90.00 90.00 90.00
Last column: nearest neighbours and their distance in Å.
Space group I-42m (No. 121)
Unique sites:
Cd 0.0000 0.0000 0.0000 (multiplicity 2)  4 As 2.65
Ga 0.0000 0.5000 0.2500 (multiplicity 4)  4 As 2.52
Sn 0.0000 0.0000 0.5000 (multiplicity 2)  4 As 2.65
As 0.2500 0.2500 0.1341 (multiplicity 8)  2 Ga 2.52, 1 Sn 2.65, 1 Cd 2.65



A plane-wave DFT calculation with PBE was carried out for crystalline Sr2CdGa2As4 at its relaxed geometry.

Computed properties:
Energy of formation from the pure elements in meV per atom: -583
Density in Mg/m³: 5.33
Total energy in eV per atom: -3.798

Lattice parameters (Å, degrees): 16.0009 4.1718 7.2545 90.00 110.74 90.00
Last column: nearest neighbours and their distance in Å.
Space group C2/m (No. 12)
Unique sites:
Sr 0.1253 0.0000 0.0408 (multiplicity 4)  7 As 3.22-3.40
Cd 0.0000 0.0000 0.5000 (multiplicity 2)  4 As 2.85
Ga 0.1696 0.5000 0.4904 (multiplicity 4)  4 As 2.49-2.66
As 0.0148 0.5000 0.2453 (multiplicity 4)  1 Ga 2.49
As 0.2180 0.0000 0.7056 (multiplicity 4)  3 Ga 2.56-2.66



A plane-wave DFT calculation with PBE was carried out for crystalline SrCdGaAs2 at its relaxed geometry.

Computed properties:
Energy of formation from the pure elements in meV per atom: -412
Density in Mg/m³: 5.77
Total energy in eV per atom: -3.397

Lattice parameters (Å, degrees): 6.5048 6.0032 6.2220 90.00 96.27 90.00
Last column: nearest neighbours and their distance in Å.
Space group P2/c (No. 13)
Unique sites:
Sr 0.0000 0.2347 0.2500 (multiplicity 2)  8 As 3.24-3.39, 2 Cd 3.41
Cd 0.5000 0.4073 0.2500 (multiplicity 2)  2 As 2.79, 2 Ga 2.90
Ga 0.5000 0.0000 0.0000 (multiplicity 2)  2 As 2.73, 2 Cd 2.90
As 0.2055 0.2574 0.7745 (multiplicity 4)  1 As 2.66, 1 Ga 2.73, 1 Cd 2.79



A plane-wave DFT calculation with PBE was carried out for crystalline TlCdGaAs2 at its relaxed geometry.

Computed properties:
Energy of formation from the pure elements in meV per atom: 524
Density in Mg/m³: 6.01
Total energy in eV per atom: -2.598

Lattice parameters (Å, degrees): 5.2277 5.2277 5.4209 90.00 90.00 90.00
Last column: nearest neighbours and their distance in Å.
Space group P4/mmm (No. 123)
Unique sites:
Tl 0.0000 0.0000 0.0000 (multiplicity 1)  4 Ga 3.70, 8 As 3.77
Cd 0.5000 0.5000 0.5000 (multiplicity 1)  4 As 2.61, 2 Ga 2.71
Ga 0.5000 0.5000 0.0000 (multiplicity 1)  2 Cd 2.71
As 0.0000 0.5000 0.5000 (multiplicity 2)  2 Cd 2.61



Q: Look up the density of the second one.
A: 5.72 Mg/m³



What did the fifth record say?
A plane-wave DFT calculation with PBE was carried out for crystalline SrCdGaAs2 at its relaxed geometry.

Computed properties:
Energy of formation from the pure elements in meV per atom: -412
Density in Mg/m³: 5.77
Total energy in eV per atom: -3.397

Lattice parameters (Å, degrees): 6.5048 6.0032 6.2220 90.00 96.27 90.00
Last column: nearest neighbours and their distance in Å.
Space group P2/c (No. 13)
Unique sites:
Sr 0.0000 0.2347 0.2500 (multiplicity 2)  8 As 3.24-3.39, 2 Cd 3.41
Cd 0.5000 0.4073 0.2500 (multiplicity 2)  2 As 2.79, 2 Ga 2.90
Ga 0.5000 0.0000 0.0000 (multiplicity 2)  2 As 2.73, 2 Cd 2.90
As 0.2055 0.2574 0.7745 (multiplicity 4)  1 As 2.66, 1 Ga 2.73, 1 Cd 2.79



Q: Look up the total energy of the fifth one.
A: -3.397 eV per atom



Q: Number 2 is which compound?
A: CdGa2AsRh